Model P:
! Th4TcAu | Alexandria | GGA-PBE | optimized geometry; values from VASP
! M_tot (μB per atom): 0.00
&SYSTEM
  ibrav = 0, nat = 12, ntyp = 3
/
ATOMIC_SPECIES
Th 232.04 Th.upf
Tc 98.00 Tc.upf
Au 196.97 Au.upf
ATOMIC_POSITIONS crystal
Th 0.8709 0.6480 0.1650
Th 0.6291 0.1480 0.8350
Th 0.3030 0.3398 0.3479
Th 0.1970 0.8398 0.6521
Th 0.1291 0.3520 0.8350
Th 0.3709 0.8520 0.1650
Th 0.6970 0.6602 0.6521
Th 0.8030 0.1602 0.3479
Tc 0.5000 0.0000 0.5000
Tc 0.0000 0.5000 0.5000
Au 0.0000 0.0000 0.0000
Au 0.5000 0.5000 0.0000
CELL_PARAMETERS angstrom
7.2490 0.0000 -0.3458
0.0000 7.0629 0.0000
-0.4618 0.0000 7.2033


Model Q:
! Th4TcAu | Alexandria | GGA-PBE | optimized geometry; values from VASP
! M_tot (μB per atom): 0.00
&SYSTEM
  ibrav = 0, nat = 12, ntyp = 3
/
ATOMIC_SPECIES
Th 232.04 Th.upf
Tc 98.00 Tc.upf
Au 196.97 Au.upf
ATOMIC_POSITIONS crystal
Th 0.0000 0.1783 0.6519
Th 0.0000 0.8217 0.3481
Th 0.0000 0.3481 0.1783
Th 0.0000 0.6519 0.8217
Th 0.5000 0.8217 0.6519
Th 0.5000 0.1783 0.3481
Th 0.5000 0.6519 0.1783
Th 0.5000 0.3481 0.8217
Tc 0.2500 0.5000 0.5000
Tc 0.7500 0.5000 0.5000
Au 0.2500 0.0000 0.0000
Au 0.7500 0.0000 0.0000
CELL_PARAMETERS angstrom
6.1926 0.0000 0.0000
0.0000 7.2712 0.0000
0.0000 0.0000 7.2712


Quick one: least stable of them? model P


Model P:
! Th3TcAu | Alexandria | GGA-PBE | optimized geometry; values from VASP
! M_tot (μB per atom): 0.00
&SYSTEM
  ibrav = 0, nat = 10, ntyp = 3
/
ATOMIC_SPECIES
Th 232.04 Th.upf
Tc 98.00 Tc.upf
Au 196.97 Au.upf
ATOMIC_POSITIONS crystal
Th 0.2539 0.8825 0.5856
Th 0.5349 0.3193 0.3664
Th 0.5620 0.2650 0.7977
Th 0.2809 0.8283 0.0169
Th 0.8216 0.7465 0.3145
Th 0.9942 0.4010 0.0689
Tc 0.6389 0.1110 0.0800
Tc 0.1769 0.0365 0.3034
Au 0.9872 0.4145 0.5956
Au 0.8287 0.7330 0.7877
CELL_PARAMETERS angstrom
-3.1134 -2.8747 -1.9054
2.0517 -6.0520 0.1037
-2.7199 -3.1059 9.1244


Model Q:
! Th3TcAu | Alexandria | GGA-PBE | optimized geometry; values from VASP
! M_tot (μB per atom): 0.00
&SYSTEM
  ibrav = 0, nat = 10, ntyp = 3
/
ATOMIC_SPECIES
Th 232.04 Th.upf
Tc 98.00 Tc.upf
Au 196.97 Au.upf
ATOMIC_POSITIONS crystal
Th 0.5930 0.8336 0.0738
Th 0.3861 0.6478 0.4650
Th 0.2080 0.0292 0.2625
Th 0.7920 0.9708 0.7375
Th 0.4070 0.1664 0.9262
Th 0.6139 0.3522 0.5350
Tc 0.8458 0.5558 0.0962
Tc 0.1542 0.4442 0.9038
Au 0.9162 0.3048 0.2799
Au 0.0838 0.6952 0.7201
CELL_PARAMETERS angstrom
-1.2551 0.3699 6.1100
4.6387 -0.7018 -4.1204
2.4975 11.3074 1.5478


Quick one: least stable of them? model P


Model P:
! TiTc3Au | Alexandria | GGA-PBE | optimized geometry; values from VASP
! M_tot (μB per atom): 0.17
&SYSTEM
  ibrav = 0, nat = 5, ntyp = 3
/
ATOMIC_SPECIES
Au 196.97 Au.upf
Tc 98.00 Tc.upf
Ti 47.87 Ti.upf
ATOMIC_POSITIONS crystal
Au 0.0000 0.0000 0.0000
Tc 0.0000 0.5000 0.0000
Tc 0.0000 0.0000 0.5000
Tc 0.5000 0.0000 0.0000
Ti 0.5000 0.5000 0.5000
CELL_PARAMETERS angstrom
4.7740 0.0000 0.0000
0.0000 4.7740 0.0000
0.0000 0.0000 4.7740


Model Q:
! TiTc3Au | Alexandria | GGA-PBE | optimized geometry; values from VASP
! M_tot (μB per atom): 0.00
&SYSTEM
  ibrav = 0, nat = 5, ntyp = 3
/
ATOMIC_SPECIES
Au 196.97 Au.upf
Tc 98.00 Tc.upf
Ti 47.87 Ti.upf
ATOMIC_POSITIONS crystal
Au 0.5000 0.5000 0.5000
Tc 0.0000 0.5000 0.0000
Tc 0.0000 0.0000 0.5000
Tc 0.5000 0.0000 0.0000
Ti 0.0000 0.0000 0.0000
CELL_PARAMETERS angstrom
4.4949 0.0000 0.0000
0.0000 4.4949 0.0000
0.0000 0.0000 4.4949


Quick one: least stable of them? model P


Model P:
! Ti3TcAu | Alexandria | GGA-PBE | optimized geometry; values from VASP
! M_tot (μB per atom): 0.27
&SYSTEM
  ibrav = 0, nat = 5, ntyp = 3
/
ATOMIC_SPECIES
Au 196.97 Au.upf
Tc 98.00 Tc.upf
Ti 47.87 Ti.upf
ATOMIC_POSITIONS crystal
Au 0.5000 0.5000 0.5000
Tc 0.0000 0.0000 0.0000
Ti 0.0000 0.5000 0.0000
Ti 0.0000 0.0000 0.5000
Ti 0.5000 0.0000 0.0000
CELL_PARAMETERS angstrom
4.6788 0.0000 0.0000
0.0000 4.6788 0.0000
0.0000 0.0000 4.6788


Model Q:
! Ti3TcAu | Alexandria | GGA-PBE | optimized geometry; values from VASP
! M_tot (μB per atom): 0.00
&SYSTEM
  ibrav = 0, nat = 5, ntyp = 3
/
ATOMIC_SPECIES
Au 196.97 Au.upf
Tc 98.00 Tc.upf
Ti 47.87 Ti.upf
ATOMIC_POSITIONS crystal
Au 0.0000 0.0000 0.0000
Tc 0.5000 0.5000 0.5000
Ti 0.0000 0.5000 0.0000
Ti 0.0000 0.0000 0.5000
Ti 0.5000 0.0000 0.0000
CELL_PARAMETERS angstrom
4.7739 0.0000 0.0000
0.0000 4.7739 0.0000
0.0000 0.0000 4.7739


Quick one: least stable of them? model Q


Model P:
! TlTcAu | Alexandria | GGA-PBE | optimized geometry; values from VASP
! M_tot (μB per atom): 0.23
&SYSTEM
  ibrav = 0, nat = 3, ntyp = 3
/
ATOMIC_SPECIES
Au 196.97 Au.upf
Tc 98.00 Tc.upf
Tl 204.38 Tl.upf
ATOMIC_POSITIONS crystal
Au 0.9923 0.9923 0.0077
Tc 0.3370 0.3370 0.6630
Tl 0.6707 0.6707 0.3293
CELL_PARAMETERS angstrom
-2.0356 5.5910 5.0629
-4.3861 3.7578 4.8310
1.8281 -0.2749 2.3498


Model Q:
! TlTcAu | Alexandria | GGA-PBE | optimized geometry; values from VASP
! M_tot (μB per atom): 0.71
&SYSTEM
  ibrav = 0, nat = 3, ntyp = 3
/
ATOMIC_SPECIES
Au 196.97 Au.upf
Tc 98.00 Tc.upf
Tl 204.38 Tl.upf
ATOMIC_POSITIONS crystal
Au 0.5000 0.5000 0.5000
Tc 0.7500 0.7500 0.7500
Tl 0.0000 0.0000 0.0000
CELL_PARAMETERS angstrom
4.5625 0.0000 0.0000
2.2812 3.9512 0.0000
2.2812 1.3171 3.7252


Quick one: least stable of them? model Q


Model P:
! U2TcAu | Alexandria | GGA-PBE | optimized geometry; values from VASP
! M_tot (μB per atom): 0.89
&SYSTEM
  ibrav = 0, nat = 4, ntyp = 3
/
ATOMIC_SPECIES
Au 196.97 Au.upf
U 238.03 U.upf
Tc 98.00 Tc.upf
ATOMIC_POSITIONS crystal
Au 0.5000 0.5000 0.5000
U 0.2615 0.2615 0.2156
U 0.7385 0.7385 0.7844
Tc 0.0000 0.0000 0.0000
CELL_PARAMETERS angstrom
-0.4778 3.6963 -1.2319
-0.6160 0.7361 -3.8062
-7.2417 0.9238 -0.6735


Model Q:
! U2TcAu | Alexandria | GGA-PBE | optimized geometry; values from VASP
! M_tot (μB per atom): 1.05
&SYSTEM
  ibrav = 0, nat = 4, ntyp = 3
/
ATOMIC_SPECIES
Au 196.97 Au.upf
U 238.03 U.upf
Tc 98.00 Tc.upf
ATOMIC_POSITIONS crystal
Au 0.5000 0.5000 0.5000
U 0.0000 0.0000 0.7768
U 0.0000 0.0000 0.2232
Tc 0.5000 0.5000 0.0000
CELL_PARAMETERS angstrom
-2.1081 -0.1438 2.3403
-1.4604 -2.3817 -1.4618
4.8127 -5.4077 4.0029


Quick one: least stable of them? model P